Compound: TmCd2Ni9
Source: the Alexandria database
Functional: PBE
Structure: relaxed

```
TmCd2Ni9
1.0
2.4387 1.4080 7.9234
-2.4387 1.4080 7.9234
0.0000 -2.8160 7.9234
Tm Cd Ni
1 2 9
Direct
0.0000 0.0000 0.0000
0.1428 0.1428 0.1428
0.8572 0.8572 0.8572
0.0813 0.5835 0.5835
0.3337 0.3337 0.3337
0.4165 0.4165 0.9187
0.4165 0.9187 0.4165
0.5000 0.5000 0.5000
0.5835 0.0813 0.5835
0.5835 0.5835 0.0813
0.6663 0.6663 0.6663
0.9187 0.4165 0.4165
```

Size of the total moment in μB per cell: 3.5
Formation energy in meV/atom: -169
Raw total energy in eV per cell: -60.4
Volume in A^3/atom: 13.60